1.
Entry from the Open Quantum Materials Database: an optimized crystal structure of KNpPb (PBE-GGA).

Cell: 5.561 5.561 5.561 Å, 60.00 60.00 60.00°
Site moments in Bohr magnetons follow the coordinates.
Positions (direct):
Np (0.750, 0.750, 0.750)  4.15
K (0.250, 0.250, 0.250)  -0.01
Pb (0.000, 0.000, 0.000)  -0.12

calculated total energy	-15.548	eV/cell
spin magnetization	1.333	μB/atom
space group	No. 216

2.
Entry from the Open Quantum Materials Database: an optimized crystal structure of KNpPd (PBE-GGA).

Cell: 5.066 5.066 5.066 Å, 60.00 60.00 60.00°
Site moments in Bohr magnetons follow the coordinates.
Positions (direct):
Pd (0.000, 0.000, 0.000)  -0.11
Np (0.750, 0.750, 0.750)  4.25
K (0.250, 0.250, 0.250)  0.02

calculated total energy	-16.904	eV/cell
spin magnetization	1.539	μB/atom
space group	No. 216

3.
Entry from the Open Quantum Materials Database: an optimized crystal structure of KNpPt (PBE-GGA).

Cell: 4.972 4.972 4.972 Å, 60.00 60.00 60.00°
Positions (direct):
K (0.250, 0.250, 0.250)
Pt (0.000, 0.000, 0.000)
Np (0.750, 0.750, 0.750)

calculated total energy	-18.648	eV/cell
spin magnetization	1.437	μB/atom
space group	No. 216

4.
Entry from the Open Quantum Materials Database: an optimized crystal structure of KPuNp (PBE-GGA).

Cell: 5.387 5.387 5.387 Å, 60.00 60.00 60.00°
Site moments in Bohr magnetons follow the coordinates.
Positions (direct):
K (0.250, 0.250, 0.250)  0.10
Np (0.750, 0.750, 0.750)  4.87
Pu (0.000, 0.000, 0.000)  6.25

calculated total energy	-23.329	eV/cell
spin magnetization	4.370	μB/atom
space group	No. 216

5.
Entry from the Open Quantum Materials Database: an optimized crystal structure of KRbNpSe3 (PBE-GGA).

Cell: 9.712 9.712 12.067 Å, 90.00 90.00 154.27°
Site moments in Bohr magnetons follow the coordinates.
Positions (direct):
Se (0.097, 0.903, 0.502)  -0.12
Se (0.097, 0.903, 0.998)  -0.12
Se (0.903, 0.097, 0.498)  -0.12
Se (0.903, 0.097, 0.002)  -0.12
Se (0.506, 0.494, 0.250)  -0.11
Se (0.494, 0.506, 0.750)  -0.11
Rb (0.144, 0.856, 0.250)  0.00
Rb (0.856, 0.144, 0.750)  0.00
Np (0.500, 0.500, 0.500)  3.44
Np (0.500, 0.500, 0.000)  3.45
K (0.118, 0.882, 0.750)  0.00
K (0.882, 0.118, 0.250)  0.00

calculated total energy	-63.396	eV/cell
spin magnetization	0.501	μB/atom
space group	No. 63

6.
Entry from the Open Quantum Materials Database: an optimized crystal structure of KRbNpTe3 (PBE-GGA).

Cell: 9.216 9.216 12.866 Å, 90.04 90.04 29.43°
Site moments in Bohr magnetons follow the coordinates.
Positions (direct):
Np (0.500, 0.500, 0.000)  3.60
Np (0.500, 0.500, 0.500)  3.57
Te (0.113, 0.113, 0.501)  -0.14
Te (0.113, 0.113, 0.999)  -0.14
Te (0.529, 0.529, 0.250)  -0.11
Te (0.471, 0.471, 0.750)  -0.11
Te (0.887, 0.887, 0.499)  -0.14
Te (0.887, 0.887, 0.001)  -0.14
K (0.898, 0.898, 0.250)  0.00
K (0.102, 0.102, 0.750)  0.00
Rb (0.185, 0.185, 0.250)  0.00
Rb (0.815, 0.815, 0.750)  0.00

calculated total energy	-57.303	eV/cell
spin magnetization	0.500	μB/atom
space group	No. 12

- Look up the calculated total energy of the fifth one.
  -63.396 eV/cell

- Which formula does entry 5 have?
  KRbNpSe3

- Number 3 is which compound?
  KNpPt